(1)
Ba6As2Se3Br (GGA-PBE, optimized geometry); electronic total energy = -52.94 eV per formula unit; theoretical density = 4.68 g/cm3; uncorrected formation energy = -20.0 eV/f.u.; magnetic moment = 0.9 μB per cell; DOS(E_F) = 10.1 states/eV/f.u.; crystal system = monoclinic
1.0
4.659 0.000 0.000
0.000 9.706 0.328
-2.330 -2.813 10.037
Ba Br Se As
6 1 3 2
direct
0.327 0.912 0.653
0.669 0.585 0.338
0.998 0.733 0.996
0.673 0.088 0.347
0.331 0.415 0.662
0.002 0.267 0.004
0.500 0.000 0.000
0.500 0.500 0.000
0.838 0.164 0.676
0.162 0.836 0.324
0.837 0.672 0.673
0.163 0.328 0.327

---

(2)
SmTlGa2 (GGA-PBE, optimized geometry); polymorph energy (0 for the lowest one) = 578 meV/atom; electronic total energy = -12.44 eV per formula unit; theoretical density = 5.81 g/cm3; calculated formation energy = 0.70 eV/f.u.; magnetic moment = 0.0 μB per cell; DOS(E_F) = 2.0 states/eV/f.u.; crystal system = trigonal
1.0
-2.136 -0.004 -4.531
-3.588 -3.326 -1.075
-6.412 3.064 0.251
Ga Tl Sm
2 1 1
direct
0.142 0.142 0.574
0.858 0.858 0.426
0.000 0.000 0.000
0.500 0.500 0.500

---

(3)
NaCa2Ni2 (GGA-PBE, optimized geometry); polymorph energy (0 for the lowest one) = 0 meV/atom; electronic total energy = -16.70 eV per formula unit; theoretical density = 3.18 g/cm3; calculated formation energy = 0.18 eV/f.u.; magnetic moment = 0.0 μB per cell; DOS(E_F) = 3.2 states/eV/f.u.; crystal system = tetragonal
1.0
7.609 0.000 0.000
0.000 7.609 0.000
0.000 0.000 3.982
Na Ni Ca
2 4 4
direct
0.000 0.000 0.000
0.500 0.500 0.000
0.609 0.109 0.000
0.891 0.609 0.000
0.109 0.391 0.000
0.391 0.891 0.000
0.670 0.830 0.500
0.170 0.670 0.500
0.330 0.170 0.500
0.830 0.330 0.500